{"formula": "TbNd3In4", "functional": "PBE", "state": "relaxed", "lattice_angstrom": [[3.847, 0.000, 0.000], [0.000, 3.847, 0.000], [0.000, 0.000, 15.430]], "species": ["Tb", "Nd", "Nd", "Nd", "In", "In", "In", "In"], "fractional_positions": [[0.000, 0.000, 0.000], [0.000, 0.000, 0.246], [0.000, 0.000, 0.500], [0.000, 0.000, 0.754], [0.500, 0.500, 0.117], [0.500, 0.500, 0.373], [0.500, 0.500, 0.627], [0.500, 0.500, 0.883]], "energy_ev_per_cell": -33.83, "de_polymorph_mev_per_atom": 0, "sg": "P4/mmm, No. 123"}